(1)
# NaYAlW2 (SCAN, PBEsol geometry)
# formation energy from the elements = 1558 meV/atom
# space group = P4/mmm, No. 123
# volume = 23.18 Å³/atom
data_NaYAlW2
_chemical_formula_sum 'Na1 Y1 Al1 W2'
_space_group_name_H-M_alt 'P 1'
_space_group_IT_number 1
_cell_length_a 4.6676
_cell_length_b 4.6676
_cell_length_c 5.3200
_cell_angle_alpha 90.00
_cell_angle_beta 90.00
_cell_angle_gamma 90.00
loop_
_space_group_symop_operation_xyz
'x,y,z'
loop_
_atom_site_label
_atom_site_type_symbol
_atom_site_fract_x
_atom_site_fract_y
_atom_site_fract_z
_atom_site_occupancy
Na1 Na 0.0000 0.0000 0.0000 1
Y1 Y 0.5000 0.5000 0.0000 1
Al1 Al 0.5000 0.5000 0.5000 1
W1 W 0.0000 0.5000 0.5000 1
W2 W 0.5000 0.0000 0.5000 1


(2)
# Cr2B2As (SCAN, PBEsol geometry)
# formation energy from the elements = 314 meV/atom
# space group = P4/mbm, No. 127
# volume = 10.29 Å³/atom
data_Cr2B2As
_chemical_formula_sum 'Cr4 B4 As2'
_space_group_name_H-M_alt 'P 1'
_space_group_IT_number 1
_cell_length_a 5.9481
_cell_length_b 5.9481
_cell_length_c 2.9076
_cell_angle_alpha 90.00
_cell_angle_beta 90.00
_cell_angle_gamma 90.00
loop_
_space_group_symop_operation_xyz
'x,y,z'
loop_
_atom_site_label
_atom_site_type_symbol
_atom_site_fract_x
_atom_site_fract_y
_atom_site_fract_z
_atom_site_occupancy
Cr1 Cr 0.1591 0.3409 0.0000 1
Cr2 Cr 0.3409 0.8409 0.0000 1
Cr3 Cr 0.6591 0.1591 0.0000 1
Cr4 Cr 0.8409 0.6591 0.0000 1
B1 B 0.1073 0.6073 0.5000 1
B2 B 0.3927 0.1073 0.5000 1
B3 B 0.6073 0.8927 0.5000 1
B4 B 0.8927 0.3927 0.5000 1
As1 As 0.0000 0.0000 0.0000 1
As2 As 0.5000 0.5000 0.0000 1


(3)
# TaMnNbNi2 (SCAN, PBEsol geometry)
# formation energy from the elements = 971 meV/atom
# space group = P4/mmm, No. 123
# volume = 15.52 Å³/atom
data_TaMnNbNi2
_chemical_formula_sum 'Ta1 Mn1 Nb1 Ni2'
_space_group_name_H-M_alt 'P 1'
_space_group_IT_number 1
_cell_length_a 4.2078
_cell_length_b 4.2078
_cell_length_c 4.3821
_cell_angle_alpha 90.00
_cell_angle_beta 90.00
_cell_angle_gamma 90.00
loop_
_space_group_symop_operation_xyz
'x,y,z'
loop_
_atom_site_label
_atom_site_type_symbol
_atom_site_fract_x
_atom_site_fract_y
_atom_site_fract_z
_atom_site_occupancy
Ta1 Ta 0.0000 0.0000 0.0000 1
Mn1 Mn 0.5000 0.5000 0.5000 1
Nb1 Nb 0.5000 0.5000 0.0000 1
Ni1 Ni 0.0000 0.5000 0.5000 1
Ni2 Ni 0.5000 0.0000 0.5000 1


(4)
# TiAs2SeF (SCAN, PBEsol geometry)
# final energy = -15.951 eV/atom
# space group = P4/mmm, No. 123
# volume = 17.64 Å³/atom
data_TiAs2SeF
_chemical_formula_sum 'Ti1 As2 Se1 F1'
_space_group_name_H-M_alt 'P 1'
_space_group_IT_number 1
_cell_length_a 4.1926
_cell_length_b 4.1926
_cell_length_c 5.0189
_cell_angle_alpha 90.00
_cell_angle_beta 90.00
_cell_angle_gamma 90.00
loop_
_space_group_symop_operation_xyz
'x,y,z'
loop_
_atom_site_label
_atom_site_type_symbol
_atom_site_fract_x
_atom_site_fract_y
_atom_site_fract_z
_atom_site_occupancy
Ti1 Ti 0.0000 0.0000 0.0000 1
As1 As 0.0000 0.5000 0.5000 1
As2 As 0.5000 0.0000 0.5000 1
Se1 Se 0.5000 0.5000 0.0000 1
F1 F 0.5000 0.5000 0.5000 1


(5)
# ZnFeRh (SCAN, PBEsol geometry)
# formation energy from the elements = -56 meV/atom
# space group = Fmm2, No. 42
# volume = 12.82 Å³/atom
data_ZnFeRh
_chemical_formula_sum 'Zn4 Fe4 Rh4'
_space_group_name_H-M_alt 'P 1'
_space_group_IT_number 1
_cell_length_a 2.7942
_cell_length_b 4.3617
_cell_length_c 12.6266
_cell_angle_alpha 90.00
_cell_angle_beta 90.00
_cell_angle_gamma 90.00
loop_
_space_group_symop_operation_xyz
'x,y,z'
loop_
_atom_site_label
_atom_site_type_symbol
_atom_site_fract_x
_atom_site_fract_y
_atom_site_fract_z
_atom_site_occupancy
Zn1 Zn 0.0000 0.0000 0.0000 1
Zn2 Zn 0.0000 0.5000 0.5000 1
Zn3 Zn 0.5000 0.0000 0.5000 1
Zn4 Zn 0.5000 0.5000 0.0000 1
Fe1 Fe 0.0000 0.0000 0.3354 1
Fe2 Fe 0.0000 0.5000 0.8354 1
Fe3 Fe 0.5000 0.0000 0.8354 1
Fe4 Fe 0.5000 0.5000 0.3354 1
Rh1 Rh 0.0000 0.0000 0.6712 1
Rh2 Rh 0.0000 0.5000 0.1712 1
Rh3 Rh 0.5000 0.0000 0.1712 1
Rh4 Rh 0.5000 0.5000 0.6712 1


(6)
# AgP2IrCl (SCAN, PBEsol geometry)
# final energy = -25.718 eV/atom
# space group = P4/mmm, No. 123
# volume = 20.70 Å³/atom
data_AgP2IrCl
_chemical_formula_sum 'Ag1 P2 Ir1 Cl1'
_space_group_name_H-M_alt 'P 1'
_space_group_IT_number 1
_cell_length_a 4.4751
_cell_length_b 4.4751
_cell_length_c 5.1671
_cell_angle_alpha 90.00
_cell_angle_beta 90.00
_cell_angle_gamma 90.00
loop_
_space_group_symop_operation_xyz
'x,y,z'
loop_
_atom_site_label
_atom_site_type_symbol
_atom_site_fract_x
_atom_site_fract_y
_atom_site_fract_z
_atom_site_occupancy
Ag1 Ag 0.0000 0.0000 0.0000 1
P1 P 0.0000 0.5000 0.5000 1
P2 P 0.5000 0.0000 0.5000 1
Ir1 Ir 0.5000 0.5000 0.5000 1
Cl1 Cl 0.5000 0.5000 0.0000 1


(7)
# MnCoIr2 (SCAN, PBEsol geometry)
# formation energy from the elements = -192 meV/atom
# space group = I-4m2, No. 119
# volume = 12.41 Å³/atom
data_MnCoIr2
_chemical_formula_sum 'Mn2 Co2 Ir4'
_space_group_name_H-M_alt 'P 1'
_space_group_IT_number 1
_cell_length_a 3.6463
_cell_length_b 3.6463
_cell_length_c 7.4662
_cell_angle_alpha 90.00
_cell_angle_beta 90.00
_cell_angle_gamma 90.00
loop_
_space_group_symop_operation_xyz
'x,y,z'
loop_
_atom_site_label
_atom_site_type_symbol
_atom_site_fract_x
_atom_site_fract_y
_atom_site_fract_z
_atom_site_occupancy
Mn1 Mn 0.0000 0.0000 0.0000 1
Mn2 Mn 0.5000 0.5000 0.5000 1
Co1 Co 0.0000 0.5000 0.2500 1
Co2 Co 0.5000 0.0000 0.7500 1
Ir1 Ir 0.0000 0.0000 0.5000 1
Ir2 Ir 0.0000 0.5000 0.7500 1
Ir3 Ir 0.5000 0.0000 0.2500 1
Ir4 Ir 0.5000 0.5000 0.0000 1


(8)
# CrHgSe3 (SCAN, PBEsol geometry)
# final energy = -28.618 eV/atom
# space group = Pm-3m, No. 221
# volume = 27.05 Å³/atom
data_CrHgSe3
_chemical_formula_sum 'Cr1 Hg1 Se3'
_space_group_name_H-M_alt 'P 1'
_space_group_IT_number 1
_cell_length_a 5.1331
_cell_length_b 5.1331
_cell_length_c 5.1331
_cell_angle_alpha 90.00
_cell_angle_beta 90.00
_cell_angle_gamma 90.00
loop_
_space_group_symop_operation_xyz
'x,y,z'
loop_
_atom_site_label
_atom_site_type_symbol
_atom_site_fract_x
_atom_site_fract_y
_atom_site_fract_z
_atom_site_occupancy
Cr1 Cr 0.0000 0.0000 0.0000 1
Hg1 Hg 0.5000 0.5000 0.5000 1
Se1 Se 0.0000 0.5000 0.5000 1
Se2 Se 0.5000 0.0000 0.5000 1
Se3 Se 0.5000 0.5000 0.0000 1